## MoAsSe2F (GGA+U)

Data for an optimized crystal structure of MoAsSe2F.

Output
Total magnetization, μB per cell: 0.48
Offset from the most stable computed form, eV/atom: 0.000

Cell lengths 4.8497, 4.8497, 4.9549 Å; angles 90.00, 90.00, 90.00 degrees
With the nearest neighbours (Å) after each atom.
Sites, in units of the cell vectors:
Mo1 0.0000 0.0000 0.0000  4 Se 2.42, 2 As 2.48
As1 0.0000 0.0000 0.5000  2 Mo 2.48
Se1 0.0000 0.5000 0.0000  2 Mo 2.42
Se2 0.5000 0.0000 0.0000  2 Mo 2.42
F1 0.5000 0.5000 0.5000  4 As 3.43, 8 Se 3.47